A plane-wave DFT calculation with GGA+U was carried out for Li2Ni3SbO8 after structural relaxation.

```
data_Li2Ni3SbO8
_chemical_formula_sum 'Li4 Ni6 Sb2 O16'
_cell_length_a 5.8408
_cell_length_b 5.8408
_cell_length_c 9.5662
_cell_angle_alpha 90.00
_cell_angle_beta 90.00
_cell_angle_gamma 120.00
_space_group_name_H-M_alt 'P 3 1 c'
_space_group_IT_number 159
_space_group_name_Hall 'P 3 -2c'
loop_
_atom_site_label
_atom_site_fract_x
_atom_site_fract_y
_atom_site_fract_z
Li1 0.0000 0.0000 0.0000
Li2 0.3333 0.6667 0.4146
Ni1 0.1622 0.3387 0.7247
Sb1 0.3333 0.6667 0.9967
O1 0.0000 0.0000 0.3093
O2 0.0316 0.5468 0.8551
O3 0.1438 0.3268 0.1033
O4 0.3333 0.6667 0.6298
```

Properties
Its total magnetization is 3.00 μB per formula unit. As for the relative energy among the computed polymorphs: 11.5 meV per atom.